[1]
PBE-GGA LaCe2Pd, optimized geometry; E = -0.4126 Ry per atom; space group = R-3m, No. 166; formation enthalpy at 0 K = -0.1165 eV per atom
1.0
4.9470 0.0000 0.0000
-2.4735 4.2843 0.0000
0.0000 0.0000 14.0439
La Ce Pd
3 6 3
Cartesian
0.0000 0.0000 0.0000
0.0000 2.8562 9.3626
2.4735 1.4281 4.6813
0.0000 0.0000 3.4959
0.0000 0.0000 10.5480
0.0000 2.8562 5.8667
0.0000 2.8562 12.8585
2.4735 1.4281 1.1854
2.4735 1.4281 8.1772
0.0000 0.0000 7.0220
0.0000 2.8562 2.3407
2.4735 1.4281 11.7033

***

[2]
PBE-GGA CdHgW2, optimized geometry; E = -0.4394 Ry per atom; space group = P4/mmm, No. 123; formation enthalpy at 0 K = 0.8030 eV per atom
1.0
3.9384 0.0000 0.0000
0.0000 3.9384 0.0000
0.0000 0.0000 4.6503
Cd Hg W
1 1 2
Cartesian
0.0000 0.0000 0.0000
1.9692 1.9692 0.0000
0.0000 1.9692 2.3252
1.9692 0.0000 2.3252

***

[3]
PBE-GGA Na3PbAu, optimized geometry; E = -0.1355 Ry per atom; space group = Pm-3m, No. 221; formation enthalpy at 0 K = 0.3454 eV per atom
1.0
5.9166 0.0000 0.0000
0.0000 5.9166 0.0000
0.0000 0.0000 5.9166
Na Pb Au
3 1 1
Cartesian
0.0000 0.0000 2.9583
0.0000 2.9583 0.0000
2.9583 0.0000 0.0000
0.0000 0.0000 0.0000
2.9583 2.9583 2.9583

***

[4]
PBE-GGA PaSnBi4, optimized geometry; E = -0.3239 Ry per atom; space group = Cmmm, No. 65; formation enthalpy at 0 K = 0.4296 eV per atom
1.0
10.4013 0.0000 0.0000
0.0000 10.6099 0.0000
0.0000 0.0000 4.3321
Pa Sn Bi
2 2 8
Cartesian
0.0000 0.0000 0.0000
5.2006 5.3049 0.0000
0.0000 5.3049 2.1661
5.2006 0.0000 2.1661
0.0000 2.1914 2.1661
0.0000 8.4185 2.1661
2.1545 5.3049 0.0000
3.0462 0.0000 0.0000
5.2006 3.1136 2.1661
5.2006 7.4963 2.1661
7.3551 0.0000 0.0000
8.2468 5.3049 0.0000

***

[5]
PBE-GGA Ca3Ac8, optimized geometry; E = -0.2257 Ry per atom; space group = R-3, No. 148; formation enthalpy at 0 K = 0.4634 eV per atom
1.0
5.3920 3.1131 4.9686
-5.3920 3.1131 4.9686
0.0000 -6.2262 4.9686
Ca Ac
3 8
Cartesian
-2.6960 -1.5565 4.9686
-2.6960 1.5565 9.9372
0.0000 3.1131 4.9686
-3.1142 -2.8088 8.2317
-3.9896 1.2926 6.6741
0.8754 -4.1014 6.6741
0.0000 0.0000 5.7482
0.0000 0.0000 9.1575
-0.8754 4.1014 8.2317
3.9896 -1.2926 8.2317
3.1142 2.8088 6.6741

***

[6]
PBE-GGA AlVIn, optimized geometry; E = -0.3826 Ry per atom; space group = P-1, No. 2; formation enthalpy at 0 K = -0.0055 eV per atom
1.0
2.8650 0.0000 0.0000
-0.0092 4.3390 0.0000
-0.4324 -0.0314 8.9064
Al V In
2 2 2
Cartesian
-0.0634 1.0671 1.5052
2.4869 3.2405 7.4011
1.2291 3.2372 0.7784
1.1943 1.0704 8.1280
-0.2512 1.0712 5.5096
2.6746 3.2364 3.3968